SmTl2Zn3F12 | PBE | optimized geometry

Results
Formation energy without anion corrections ... -2489 meV/atom
DOS at the Fermi energy ... 0.343 states/eV per atom

Lattice parameters (Å, degrees): 6.8240 6.8240 6.8240 67.56 67.56 67.56
Element x y z (fractional)
Sm (0.0000, 0.0000, 0.0000)
Tl (0.3918, 0.3918, 0.3918)
Tl (0.6082, 0.6082, 0.6082)
Zn (0.0000, 0.0000, 0.5000)
Zn (0.0000, 0.5000, 0.0000)
Zn (0.5000, 0.0000, 0.0000)
F (0.1095, 0.7524, 0.7524)
F (0.1519, 0.1519, 0.5796)
F (0.1519, 0.5796, 0.1519)
F (0.2476, 0.2476, 0.8905)
F (0.2476, 0.8905, 0.2476)
F (0.4204, 0.8481, 0.8481)
F (0.5796, 0.1519, 0.1519)
F (0.7524, 0.1095, 0.7524)
F (0.7524, 0.7524, 0.1095)
F (0.8481, 0.4204, 0.8481)
F (0.8481, 0.8481, 0.4204)
F (0.8905, 0.2476, 0.2476)



Sm2TmF8 | PBE | optimized geometry

Results
Formation energy without anion corrections ... -3860 meV/atom
DOS at the Fermi energy ... 0.089 states/eV per atom

Lattice parameters (Å, degrees): 8.1848 8.1848 5.3066 103.66 103.66 26.68
Element x y z (fractional)
Sm (0.1645, 0.1645, 0.1626)
Sm (0.8355, 0.8355, 0.8374)
Tm (0.5000, 0.5000, 0.5000)
F (0.0251, 0.0251, 0.2930)
F (0.2380, 0.2380, 0.8294)
F (0.3697, 0.3697, 0.5974)
F (0.4045, 0.4045, 0.1123)
F (0.5955, 0.5955, 0.8877)
F (0.6303, 0.6303, 0.4026)
F (0.7620, 0.7620, 0.1706)
F (0.9749, 0.9749, 0.7070)